VASP calculation (PBE-GGA) on a relaxed Ac2PrMg crystal.

Unit cell a=4.003 b=4.003 c=9.504 alpha=90.00 beta=90.00 gamma=90.00
Atoms (fractional coordinates):
Mg1 0.500 0.500 0.000
Pr1 0.500 0.500 0.500
Ac1 0.000 0.000 0.227
Ac2 0.000 0.000 0.773

Values from the calculation:
E (eV per atom): -3.676
Formation energy (meV/atom): -28
Offset from the most stable computed form (eV per atom): 0.000

***

VASP calculation (PBE-GGA) on a relaxed Zn2BiO crystal.

Unit cell a=4.662 b=4.662 c=4.662 alpha=60.00 beta=60.00 gamma=60.00
Atoms (fractional coordinates):
Zn1 0.250 0.250 0.250
Zn2 0.750 0.750 0.750
O1 0.000 0.000 0.000
Bi1 0.500 0.500 0.500

Values from the calculation:
E (eV per atom): -2.480
Formation energy without anion corrections (kcal/mol of atoms): 8.453
Offset from the most stable computed form (eV per atom): 0.813

***

VASP calculation (PBE-GGA) on a relaxed KSnAsS6 crystal.

Unit cell a=6.175 b=6.175 c=7.703 alpha=90.00 beta=90.00 gamma=59.99
Last column: magnetic moment on the atom in μB.
Atoms (fractional coordinates):
S1 0.026 0.349 0.310  0.17
S2 0.349 0.625 0.310  0.17
S3 0.026 0.625 0.690  0.17
S4 0.349 0.026 0.690  0.17
S5 0.625 0.349 0.690  0.17
S6 0.625 0.026 0.310  0.17
Sn1 0.667 0.667 0.500  0.00
K1 0.000 0.000 0.000  0.00
As1 0.333 0.333 0.500  -0.01

Values from the calculation:
E (eV per atom): -3.891
Formation energy without anion corrections (kcal/mol of atoms): -1.289

***

VASP calculation (PBE-GGA) on a relaxed Tl2ReTc crystal.

Unit cell a=4.888 b=4.888 c=5.325 alpha=79.61 beta=79.61 gamma=36.54
Last column: magnetic moment on the atom in μB.
Atoms (fractional coordinates):
Tc1 0.250 0.250 0.250  0.14
Re1 0.750 0.750 0.750  -0.02
Tl1 0.999 0.999 0.001  0.00
Tl2 0.501 0.501 0.499  0.00

Values from the calculation:
E (eV per atom): -5.855
Formation energy (meV/atom): 1031
Offset from the most stable computed form (eV per atom): 0.621

***

VASP calculation (PBE-GGA) on a relaxed Nb2TlSe crystal.

Unit cell a=4.149 b=4.149 c=10.343 alpha=78.43 beta=78.43 gamma=90.00
Atoms (fractional coordinates):
Nb1 0.617 0.125 0.250
Nb2 0.133 0.625 0.250
Nb3 0.375 0.383 0.750
Nb4 0.875 0.867 0.750
Tl1 0.000 0.000 0.000
Tl2 0.750 0.250 0.500
Se1 0.500 0.500 0.000
Se2 0.250 0.750 0.500

Values from the calculation:
E (eV per atom): -6.085
Formation energy without anion corrections (kcal/mol of atoms): 9.511
Offset from the most stable computed form (eV per atom): 0.176

***

VASP calculation (PBE-GGA) on a relaxed BaInReS2 crystal.

Unit cell a=5.782 b=6.706 c=5.782 alpha=90.00 beta=90.00 gamma=90.00
Last column: magnetic moment on the atom in μB.
Atoms (fractional coordinates):
Ba1 0.000 0.000 0.000  -0.02
In1 0.000 0.500 0.000  -0.10
Re1 0.500 0.500 0.500  4.13
S1 0.000 0.000 0.500  0.48
S2 0.500 0.000 0.000  0.31

Values from the calculation:
E (eV per atom): -3.597
Formation energy without anion corrections (kcal/mol of atoms): 34.044

***

VASP calculation (PBE-GGA) on a relaxed LaCuCl2 crystal.

Unit cell a=3.877 b=4.026 c=7.821 alpha=82.20 beta=90.00 gamma=90.00
Atoms (fractional coordinates):
Cu1 0.000 0.463 0.510
La1 0.500 0.939 0.691
Cl1 0.500 0.235 0.350
Cl2 0.000 0.863 0.949

Values from the calculation:
E (eV per atom): -4.317
Formation energy without anion corrections (kcal/mol of atoms): -26.238
Offset from the most stable computed form (eV per atom): 0.030

***

VASP calculation (PBE-GGA) on a relaxed PmNd4SmS8 crystal.

Unit cell a=8.327 b=8.327 c=8.318 alpha=59.96 beta=59.96 gamma=60.00
Atoms (fractional coordinates):
Nd1 0.000 0.499 0.500
Nd2 0.499 0.000 0.500
Nd3 0.000 0.000 0.500
Nd4 0.625 0.625 0.126
S1 0.759 0.759 0.256
S2 0.244 0.244 0.268
S3 0.758 0.758 0.727
S4 0.242 0.242 0.746
S5 0.226 0.759 0.256
S6 0.242 0.770 0.746
S7 0.759 0.226 0.256
S8 0.770 0.242 0.746
Sm1 0.375 0.375 0.874
Pm1 0.000 0.000 0.999

Values from the calculation:
E (eV per atom): -6.306
Formation energy without anion corrections (kcal/mol of atoms): -44.021

***

VASP calculation (PBE-GGA) on a relaxed U2SnS6 crystal.

Unit cell a=6.829 b=6.829 c=7.315 alpha=76.66 beta=76.66 gamma=117.06
Last column: magnetic moment on the atom in μB.
Atoms (fractional coordinates):
U1 0.329 0.171 0.500  1.18
U2 0.671 0.829 0.500  1.18
S1 0.706 0.206 0.261  -0.05
S2 0.464 0.609 0.288  -0.05
S3 0.294 0.794 0.739  -0.05
S4 0.536 0.391 0.712  -0.05
S5 0.109 0.964 0.288  -0.05
S6 0.891 0.036 0.712  -0.05
Sn1 0.500 0.000 0.000  -0.01

Values from the calculation:
E (eV per atom): -6.735
Formation energy without anion corrections (kcal/mol of atoms): -23.756
Offset from the most stable computed form (eV per atom): 0.000

***

VASP calculation (PBE-GGA) on a relaxed ScGaP2S crystal.

Unit cell a=4.619 b=4.619 c=4.776 alpha=90.00 beta=90.00 gamma=90.00
Atoms (fractional coordinates):
P1 0.500 0.000 0.000
P2 0.000 0.500 0.000
Ga1 0.000 0.000 0.000
S1 0.000 0.000 0.500
Sc1 0.500 0.500 0.500

Values from the calculation:
E (eV per atom): -4.653
Formation energy without anion corrections (kcal/mol of atoms): 4.790
Offset from the most stable computed form (eV per atom): 0.067

***

VASP calculation (PBE-GGA) on a relaxed CdTeRh2 crystal.

Unit cell a=8.237 b=8.237 c=8.237 alpha=22.93 beta=22.93 gamma=22.93
Atoms (fractional coordinates):
Rh1 0.756 0.756 0.756
Rh2 0.244 0.244 0.244
Cd1 0.000 0.000 0.000
Te1 0.500 0.500 0.500

Values from the calculation:
E (eV per atom): -4.715
Formation energy without anion corrections (kcal/mol of atoms): -0.588
Offset from the most stable computed form (eV per atom): 0.070

***

VASP calculation (PBE-GGA) on a relaxed CsBeCuSe2 crystal.

Unit cell a=6.377 b=5.848 c=7.590 alpha=112.66 beta=90.00 gamma=90.00
Atoms (fractional coordinates):
Se1 0.304 0.411 0.823
Se2 0.696 0.911 0.823
Se3 0.304 0.089 0.177
Se4 0.696 0.589 0.177
Cs1 0.239 0.750 0.500
Cs2 0.761 0.250 0.500
Be1 0.500 0.250 0.000
Be2 0.500 0.750 0.000
Cu1 0.000 0.500 0.000
Cu2 0.000 0.000 0.000

Values from the calculation:
E (eV per atom): -3.864
Formation energy without anion corrections (kcal/mol of atoms): -16.956